Entry 1:
Material: YReNi3
Method: DFT, SCAN
State: single point on PBEsol structure

Geometry as extended XYZ:
```
5
Lattice="4.401 0.000 0.000 0.000 4.401 0.000 0.000 0.000 4.401" Properties=species:S:1:pos:R:3 pbc="T T T"
Y 0.000 0.000 0.000
Re 2.200 2.200 2.200
Ni 0.000 2.200 0.000
Ni 0.000 0.000 2.200
Ni 2.200 0.000 0.000
```

Symmetry: Pm-3m (221)
Polymorph energy (0 for the lowest one), eV/atom: 1.497
Energy of formation from the pure elements, meV/atom: 2027

Entry 2:
Material: Be2FePt
Method: DFT, SCAN
State: single point on PBEsol structure

Geometry as extended XYZ:
```
4
Lattice="-2.133 0.074 1.635 2.342 -0.262 3.066 0.244 3.857 0.143" Properties=species:S:1:pos:R:3 pbc="T T T"
Be 0.122 1.928 0.072
Be 1.171 -0.131 1.533
Fe 0.226 1.835 2.422
Pt -1.066 0.037 0.818
```

Symmetry: P4/mmm (123)
Energy of formation from the pure elements, meV/atom: -545

Entry 3:
Material: TaTcW2
Method: DFT, SCAN
State: single point on PBEsol structure

Geometry as extended XYZ:
```
4
Lattice="3.146 0.000 0.000 0.000 4.437 0.000 0.000 0.000 4.492" Properties=species:S:1:pos:R:3 pbc="T T T"
Tc 0.000 2.218 2.246
W 0.000 0.000 0.000
W 1.573 2.218 0.000
Ta 1.573 0.000 2.246
```

Symmetry: Pmmm (47)
Polymorph energy (0 for the lowest one), eV/atom: 0.000
Energy of formation from the pure elements, meV/atom: -203

Entry 4:
Material: Ca3SiTe
Method: DFT, SCAN
State: single point on PBEsol structure

Geometry as extended XYZ:
```
5
Lattice="-0.697 -5.601 -0.176 1.072 -0.307 5.536 -5.500 0.650 1.102" Properties=species:S:1:pos:R:3 pbc="T T T"
Ca 0.536 -0.154 2.768
Ca -2.750 0.325 0.551
Ca -0.349 -2.800 -0.088
Te 0.000 0.000 0.000
Si -2.562 -2.629 3.231
```

Symmetry: Pm-3m (221)
Raw formation energy, eV per atom: -0.251

Entry 5:
Material: SiRh2Br
Method: DFT, SCAN
State: single point on PBEsol structure

Geometry as extended XYZ:
```
4
Lattice="-2.146 -1.112 -1.632 1.725 -2.232 -0.740 -2.322 -3.626 5.524" Properties=species:S:1:pos:R:3 pbc="T T T"
Br -0.210 -1.672 -1.186
Rh -0.710 -1.109 1.689
Rh -1.612 -2.518 3.835
Si -1.371 -3.485 1.576
```

Symmetry: P4/mmm (123)
Polymorph energy (0 for the lowest one), eV/atom: 0.000
Raw formation energy, eV per atom: -0.242

Entry 6:
Material: CaAu2Se
Method: DFT, SCAN
State: single point on PBEsol structure

Geometry as extended XYZ:
```
8
Lattice="3.941 0.000 0.000 0.000 3.941 0.000 -1.970 -1.970 10.865" Properties=species:S:1:pos:R:3 pbc="T T T"
Ca 1.970 0.000 5.433
Ca 1.970 1.970 0.000
Au 0.975 2.955 2.716
Au 2.966 0.985 2.716
Au -0.985 -0.996 8.149
Au 0.985 0.996 8.149
Se 0.000 1.970 5.433
Se 0.000 0.000 0.000
```

Symmetry: I-42d (122)
Raw formation energy, eV per atom: -0.794